The following is a GGA-PBE calculation of a geometry-optimized CdRh2 structure, from Alexandria via LeMat-Bulk.

Properties
Formation enthalpy at 0 K (meV/atom): 427.1
Volume (A^3/atom): 19.38

a b c (Å): 3.6139 3.6139 4.4506
angles (deg): 90.00 90.00 90.00
Space group P4/mmm (No. 123)
One atom of each set of equivalent atoms:
1 Cd 0.0000 0.0000 0.0000 x1
2 Rh 0.0000 0.5000 0.5000 x2



The following is a GGA-PBE calculation of a geometry-optimized BeBr3 structure, from Alexandria via LeMat-Bulk.

Properties
ΔE_f (raw) (eV per atom): 0.6098
Volume (A^3/atom): 26.15
Polymorph energy (0 for the lowest one) (meV/atom): 1113

a b c (Å): 8.4359 8.4359 5.0914
angles (deg): 90.00 90.00 120.00
Space group R-3m (No. 166, hexagonal axes)
One atom of each set of equivalent atoms:
1 Be 0.0000 0.0000 0.0000 x3
2 Br 0.0000 0.5000 0.0000 x9



The following is a GGA-PBE calculation of a geometry-optimized PrSiP structure, from Alexandria via LeMat-Bulk.

Properties
ΔE_f (raw) (eV per atom): -0.4509
Volume (A^3/atom): 25.19

a b c (Å): 4.0694 4.0694 18.2522
angles (deg): 90.00 90.00 90.00
Space group I4/mmm (No. 139)
One atom of each set of equivalent atoms:
1 Pr 0.0000 0.0000 0.1472 x4
2 Si 0.0000 0.0000 0.4328 x4
3 P 0.0000 0.0000 0.3090 x4



The following is a GGA-PBE calculation of a geometry-optimized BaNpNb2O8 structure, from Alexandria via LeMat-Bulk.

Properties
ΔE_f (raw) (eV per atom): -2.7360
Volume (A^3/atom): 20.03

a b c (Å): 6.0695 6.0695 7.5323
angles (deg): 90.00 90.00 120.00
Space group P-3m1 (No. 164)
One atom of each set of equivalent atoms:
1 Ba 0.0000 0.0000 0.0000 x1
2 Np 0.0000 0.0000 0.5000 x1
3 Nb 0.3333 0.6667 0.7664 x2
4 O 0.1603 0.3206 0.6919 x6
5 O 0.3333 0.6667 0.0058 x2